# La2YHo8 PBE optimized geometry
# - formation energy from the elements (eV/atom) = 0.176
# - magnetic moment (μB/f.u.) = 0.00
# - uncorrected energy (eV per atom) = -4.636
# - density of states at the Fermi level (states/eV/cell) = 33.5
data_La2YHo8
_chemical_formula_sum 'La4 Y2 Ho16'
_symmetry_space_group_name_H-M 'C 1 2/m 1'
_symmetry_Int_Tables_number 12
_symmetry_space_group_name_Hall '-C 2y'
_cell_length_a 16.698
_cell_length_b 6.606
_cell_length_c 6.663
_cell_angle_alpha 90.00
_cell_angle_beta 100.13
_cell_angle_gamma 90.00
loop_
_atom_site_label
_atom_site_type_symbol
_atom_site_fract_x
_atom_site_fract_y
_atom_site_fract_z
La1 La 0.248 0.000 0.320
Y1 Y 0.000 0.000 0.000
Ho1 Ho 0.085 0.259 0.401
Ho2 Ho 0.088 0.500 0.908
Ho3 Ho 0.198 0.000 0.813